*1*
Material: LiDy2Mg6
Method: DFT, GGA-PBE
State: optimized geometry

abc: 6.121 6.121 6.159
angles: 93.65 93.65 94.12
Element x y z (fractional)
Li  0.000  0.000  0.000
Dy  0.335  0.335  0.337
Dy  0.665  0.665  0.663
Mg  0.167  0.499  0.834
Mg  0.167  0.833  0.500
Mg  0.499  0.167  0.834
Mg  0.501  0.833  0.166
Mg  0.833  0.167  0.500
Mg  0.833  0.501  0.166

Size of the total moment in μB per cell: 0.000
Space-group type: C2/m (12)

*2*
Material: LiDy2Mg6
Method: DFT, GGA-PBE
State: optimized geometry

abc: 9.015 9.015 3.207
angles: 90.05 90.05 59.99
Element x y z (fractional)
Li  0.000  0.000  0.000
Dy  0.333  0.333  0.000
Dy  0.667  0.667  0.000
Mg  0.000  0.330  0.498
Mg  0.000  0.670  0.502
Mg  0.330  0.000  0.498
Mg  0.330  0.670  0.500
Mg  0.670  0.000  0.502
Mg  0.670  0.330  0.500

Size of the total moment in μB per cell: 0.000
Space-group type: C2/m (12)

It is *2* that is the most stable of them.